Record 1
Computed, not measured: a relaxed Y2Ho crystal at the GGA-PBE level of DFT.

For the formation enthalpy at 0 K, the calculation gives 58.854 kcal/mol of atoms. The mass density comes out at 1.84 g/cm3. Its space-group type is Fd-3m (227). As for the total energy: -19.701 eV per cell.

a b c (Å): 9.567 9.567 9.567
angles (deg): 60.00 60.00 60.00
Sites, in units of the cell vectors:
Y 0.000 0.000 0.000
Y 0.000 0.000 0.500
Y 0.000 0.500 0.000
Y 0.500 0.000 0.000
Ho 0.125 0.125 0.125
Ho 0.875 0.875 0.875

Record 2
Computed, not measured: a relaxed FeHgBiOs crystal at the GGA-PBE level of DFT.

The mass density comes out at 14.82 g/cm3. Its space-group type is F-43m (216). As for the total energy: -20.376 eV per cell.

a b c (Å): 4.701 4.701 4.701
angles (deg): 60.00 60.00 60.00
Sites, in units of the cell vectors:
Fe 0.000 0.000 0.000
Hg 0.250 0.250 0.250
Bi 0.750 0.750 0.750
Os 0.500 0.500 0.500

Record 3
Computed, not measured: a relaxed NbPIrO crystal at the GGA-PBE level of DFT.

The mass density comes out at 8.32 g/cm3. Its space-group type is Pmc2_1 (26). As for the total energy: -64.822 eV per cell.

a b c (Å): 3.381 6.433 6.098
angles (deg): 90.00 90.00 90.00
Sites, in units of the cell vectors:
Nb 0.000 0.102 0.000
Nb 0.000 0.898 0.500
P 0.000 0.274 0.386
P 0.000 0.726 0.886
Ir 0.500 0.223 0.642
Ir 0.500 0.777 0.142
O 0.500 0.273 0.976
O 0.500 0.727 0.476

Record 4
Computed, not measured: a relaxed CuAg3 crystal at the GGA-PBE level of DFT.

For the formation enthalpy at 0 K, the calculation gives 1.570 kcal/mol of atoms. The mass density comes out at 9.76 g/cm3. Its space-group type is C2/m (12). As for the total energy: -23.835 eV per cell.

a b c (Å): 9.433 9.433 4.960
angles (deg): 94.53 94.53 17.43
Sites, in units of the cell vectors:
Cu 0.061 0.061 0.184
Cu 0.939 0.939 0.816
Ag 0.185 0.185 0.561
Ag 0.317 0.317 0.936
Ag 0.443 0.443 0.303
Ag 0.557 0.557 0.697
Ag 0.683 0.683 0.064
Ag 0.815 0.815 0.439

Record 5
Computed, not measured: a relaxed LiLuGaAu crystal at the GGA-PBE level of DFT.

The mass density comes out at 10.67 g/cm3. Its space-group type is F-43m (216). As for the total energy: -14.853 eV per cell.

a b c (Å): 4.623 4.623 4.623
angles (deg): 60.00 60.00 60.00
Sites, in units of the cell vectors:
Li 0.000 0.000 0.000
Lu 0.250 0.250 0.250
Ga 0.500 0.500 0.500
Au 0.750 0.750 0.750

Record 6
Computed, not measured: a relaxed LuCuGeTe3 crystal at the GGA-PBE level of DFT.

The mass density comes out at 7.01 g/cm3. Its space-group type is Pnma (62). As for the total energy: -101.848 eV per cell.

a b c (Å): 10.985 4.224 14.171
angles (deg): 90.00 90.00 90.00
Sites, in units of the cell vectors:
Lu 0.029 0.250 0.238
Lu 0.471 0.750 0.738
Lu 0.529 0.250 0.262
Lu 0.971 0.750 0.762
Cu 0.249 0.750 0.233
Cu 0.251 0.250 0.733
Cu 0.749 0.750 0.267
Cu 0.751 0.250 0.767
Ge 0.175 0.750 0.484
Ge 0.325 0.250 0.984
Ge 0.675 0.750 0.016
Ge 0.825 0.250 0.516
Te 0.056 0.250 0.608
Te 0.089 0.750 0.102
Te 0.233 0.750 0.845
Te 0.267 0.250 0.345
Te 0.411 0.250 0.602
Te 0.444 0.750 0.108
Te 0.556 0.250 0.892
Te 0.589 0.750 0.398
Te 0.733 0.750 0.655
Te 0.767 0.250 0.155
Te 0.911 0.250 0.898
Te 0.944 0.750 0.392

Record 7
Computed, not measured: a relaxed DyBr3 crystal at the GGA-PBE level of DFT.

The mass density comes out at 5.73 g/cm3. Its space-group type is Pnma (62). As for the total energy: -66.787 eV per cell.

a b c (Å): 7.148 10.154 6.423
angles (deg): 90.00 90.00 90.00
Sites, in units of the cell vectors:
Dy 0.121 0.250 0.065
Dy 0.379 0.750 0.565
Dy 0.621 0.250 0.435
Dy 0.879 0.750 0.935
Br 0.042 0.750 0.334
Br 0.167 0.575 0.820
Br 0.167 0.925 0.820
Br 0.333 0.075 0.320
Br 0.333 0.425 0.320
Br 0.458 0.250 0.834
Br 0.542 0.750 0.166
Br 0.667 0.575 0.680
Br 0.667 0.925 0.680
Br 0.833 0.075 0.180
Br 0.833 0.425 0.180
Br 0.958 0.250 0.666

Record 8
Computed, not measured: a relaxed Tb3DyP4 crystal at the GGA-PBE level of DFT.

The mass density comes out at 6.89 g/cm3. Its space-group type is Cmmm (65). As for the total energy: -53.036 eV per cell.

a b c (Å): 6.963 6.963 4.022
angles (deg): 90.00 90.00 109.47
Sites, in units of the cell vectors:
Tb 0.000 0.000 0.000
Tb 0.000 0.500 0.500
Tb 0.500 0.000 0.500
Dy 0.500 0.500 0.000
P 0.250 0.750 0.000
P 0.251 0.251 0.500
P 0.749 0.749 0.500
P 0.750 0.250 0.000

Please write out number 7 again, unchanged.
Computed, not measured: a relaxed DyBr3 crystal at the GGA-PBE level of DFT.

The mass density comes out at 5.73 g/cm3. Its space-group type is Pnma (62). As for the total energy: -66.787 eV per cell.

a b c (Å): 7.148 10.154 6.423
angles (deg): 90.00 90.00 90.00
Sites, in units of the cell vectors:
Dy 0.121 0.250 0.065
Dy 0.379 0.750 0.565
Dy 0.621 0.250 0.435
Dy 0.879 0.750 0.935
Br 0.042 0.750 0.334
Br 0.167 0.575 0.820
Br 0.167 0.925 0.820
Br 0.333 0.075 0.320
Br 0.333 0.425 0.320
Br 0.458 0.250 0.834
Br 0.542 0.750 0.166
Br 0.667 0.575 0.680
Br 0.667 0.925 0.680
Br 0.833 0.075 0.180
Br 0.833 0.425 0.180
Br 0.958 0.250 0.666